Record 1
4
Lattice="1.5405 0.8894 8.0031 -1.5405 0.8894 8.0031 0.0000 -1.7788 8.0031" Properties=species:S:1:pos:R:3 comment="SeBrO2 PBE relaxed" polymorph_energy_mev_per_atom=418.9 raw_formation_energy_ev_per_atom=0.473 pbc="T T T"
Se 0.0000 0.0000 0.0000
Br 0.0000 0.0000 12.0047
O 0.0000 0.0000 1.7085
O 0.0000 0.0000 22.3009



Record 2
4
Lattice="1.7670 1.0202 5.8914 -1.7670 1.0202 5.8914 0.0000 -2.0403 5.8914" Properties=species:S:1:pos:R:3 comment="SeBrO2 PBE relaxed" polymorph_energy_mev_per_atom=78.4 raw_formation_energy_ev_per_atom=0.133 pbc="T T T"
Se 0.0000 0.0000 0.0000
Br 0.0000 0.0000 8.8370
O 0.0000 0.0000 6.7607
O 0.0000 0.0000 10.9134



Record 3
4
Lattice="1.7023 0.9828 8.4353 -1.7023 0.9828 8.4353 0.0000 -1.9657 8.4353" Properties=species:S:1:pos:R:3 comment="Se2BrO PBE relaxed" polymorph_energy_mev_per_atom=30.4 raw_formation_energy_ev_per_atom=0.269 pbc="T T T"
Se 0.0000 0.0000 1.8005
Se 0.0000 0.0000 23.5052
Br 0.0000 0.0000 12.6529
O 0.0000 0.0000 0.0000



Record 4
5
Lattice="4.9924 0.0000 0.0000 0.0000 4.9924 0.0000 0.0000 0.0000 4.9476" Properties=species:S:1:pos:R:3 comment="SiSeBr2O PBE relaxed" polymorph_energy_mev_per_atom=55.9 raw_formation_energy_ev_per_atom=0.707 pbc="T T T"
Si 0.0000 0.0000 0.0000
Se 0.0000 0.0000 2.4738
Br 0.0000 2.4962 0.0000
Br 2.4962 0.0000 0.0000
O 2.4962 2.4962 2.4738



Record 5
5
Lattice="4.8348 0.0000 0.0000 0.0000 4.8348 0.0000 0.0000 0.0000 4.9445" Properties=species:S:1:pos:R:3 comment="SiSe2BrO PBE relaxed" polymorph_energy_mev_per_atom=403.6 raw_formation_energy_ev_per_atom=0.861 pbc="T T T"
Si 0.0000 0.0000 0.0000
Se 0.0000 2.4174 0.0000
Se 2.4174 0.0000 0.0000
Br 0.0000 0.0000 2.4722
O 2.4174 2.4174 2.4722



Record 6
5
Lattice="4.7750 0.0000 0.0000 0.0000 4.7750 0.0000 0.0000 0.0000 4.4630" Properties=species:S:1:pos:R:3 comment="SiSeBr2O PBE relaxed" polymorph_energy_mev_per_atom=0.0 raw_formation_energy_ev_per_atom=0.651 pbc="T T T"
Si 0.0000 0.0000 0.0000
Se 2.3875 2.3875 0.0000
Br 0.0000 2.3875 2.2315
Br 2.3875 0.0000 2.2315
O 2.3875 2.3875 2.2315